Model P:
A plane-wave DFT calculation with PBE was carried out for a relaxed structure of Pd2AuI8.

The structure in CIF format:
```
data_Pd2AuI8
_chemical_formula_sum 'Pd4 Au2 I16'
_cell_length_a 12.529
_cell_length_b 9.377
_cell_length_c 7.685
_cell_angle_alpha 90.00
_cell_angle_beta 99.96
_cell_angle_gamma 90.00
_space_group_name_H-M_alt 'C 1 2/m 1'
_space_group_IT_number 12
loop_
_space_group_symop_operation_xyz
'x,y,z'
'-x,-y,-z'
'-x,y,-z'
'x,-y,z'
'x+1/2,y+1/2,z'
'-x+1/2,-y+1/2,-z'
'-x+1/2,y+1/2,-z'
'x+1/2,-y+1/2,z'
loop_
_atom_site_label
_atom_site_type_symbol
_atom_site_fract_x
_atom_site_fract_y
_atom_site_fract_z
Pd1 Pd 0.206 0.000 0.154
Au1 Au 0.000 0.000 0.500
I1 I 0.090 0.191 0.300
I2 I 0.092 0.500 0.669
I3 I 0.226 0.500 0.148
```

- magnetization (μB per cell) = 0.0

=====

Model Q:
A plane-wave DFT calculation with PBE was carried out for a relaxed structure of Pd2AuI8.

The structure in CIF format:
```
data_Pd2AuI8
_chemical_formula_sum 'Pd2 Au1 I8'
_cell_length_a 7.182
_cell_length_b 7.596
_cell_length_c 10.295
_cell_angle_alpha 72.78
_cell_angle_beta 89.52
_cell_angle_gamma 64.62
_space_group_name_H-M_alt 'P -1'
_space_group_IT_number 2
loop_
_space_group_symop_operation_xyz
'x,y,z'
'-x,-y,-z'
loop_
_atom_site_label
_atom_site_type_symbol
_atom_site_fract_x
_atom_site_fract_y
_atom_site_fract_z
Pd1 Pd 0.202 0.098 0.415
Au1 Au 0.000 0.500 0.000
I1 I 0.024 0.078 0.642
I2 I 0.195 0.407 0.789
I3 I 0.311 0.151 0.162
I4 I 0.398 0.294 0.481
```

- magnetization (μB per cell) = 0.0

=====

Calculated relative energies: model P 0.142; model Q 0.000, given in eV/atom

=====

Model P:
A plane-wave DFT calculation with PBE was carried out for a relaxed structure of PdAu2I6.

The structure in CIF format:
```
data_PdAu2I6
_chemical_formula_sum 'Pd4 Au8 I24'
_cell_length_a 13.855
_cell_length_b 11.624
_cell_length_c 8.844
_cell_angle_alpha 90.00
_cell_angle_beta 98.29
_cell_angle_gamma 90.00
_space_group_name_H-M_alt 'C 1 2/c 1'
_space_group_IT_number 15
loop_
_space_group_symop_operation_xyz
'x,y,z'
'-x,-y,-z'
'-x,y,-z+1/2'
'x,-y,z+1/2'
'x+1/2,y+1/2,z'
'-x+1/2,-y+1/2,-z'
'-x+1/2,y+1/2,-z+1/2'
'x+1/2,-y+1/2,z+1/2'
loop_
_atom_site_label
_atom_site_type_symbol
_atom_site_fract_x
_atom_site_fract_y
_atom_site_fract_z
Pd1 Pd 0.000 0.059 0.250
Au1 Au 0.210 0.444 0.176
I1 I 0.099 0.466 0.438
I2 I 0.114 0.108 0.675
I3 I 0.139 0.202 0.192
```

- magnetization (μB per cell) = 0.0

=====

Model Q:
A plane-wave DFT calculation with PBE was carried out for a relaxed structure of PdAu2I6.

The structure in CIF format:
```
data_PdAu2I6
_chemical_formula_sum 'Pd4 Au8 I24'
_cell_length_a 7.954
_cell_length_b 14.241
_cell_length_c 13.517
_cell_angle_alpha 90.00
_cell_angle_beta 101.80
_cell_angle_gamma 90.00
_space_group_name_H-M_alt 'C 1 2/c 1'
_space_group_IT_number 15
loop_
_space_group_symop_operation_xyz
'x,y,z'
'-x,-y,-z'
'-x,y,-z+1/2'
'x,-y,z+1/2'
'x+1/2,y+1/2,z'
'-x+1/2,-y+1/2,-z'
'-x+1/2,y+1/2,-z+1/2'
'x+1/2,-y+1/2,z+1/2'
loop_
_atom_site_label
_atom_site_type_symbol
_atom_site_fract_x
_atom_site_fract_y
_atom_site_fract_z
Pd1 Pd 0.000 0.134 0.250
Au1 Au 0.238 0.177 0.868
I1 I 0.179 0.141 0.058
I2 I 0.235 0.267 0.322
I3 I 0.245 0.013 0.337
```

- magnetization (μB per cell) = 0.0

=====

Calculated relative energies: model P 0.054; model Q 0.000, given in eV/atom

=====

Model P:
A plane-wave DFT calculation with PBE was carried out for a relaxed structure of PmAuI.

The structure in CIF format:
```
data_PmAuI
_chemical_formula_sum 'Pm4 Au4 I4'
_cell_length_a 8.202
_cell_length_b 4.735
_cell_length_c 11.355
_cell_angle_alpha 90.00
_cell_angle_beta 103.88
_cell_angle_gamma 90.00
_space_group_name_H-M_alt 'C 1 2/m 1'
_space_group_IT_number 12
loop_
_space_group_symop_operation_xyz
'x,y,z'
'-x,-y,-z'
'-x,y,-z'
'x,-y,z'
'x+1/2,y+1/2,z'
'-x+1/2,-y+1/2,-z'
'-x+1/2,y+1/2,-z'
'x+1/2,-y+1/2,z'
loop_
_atom_site_label
_atom_site_type_symbol
_atom_site_fract_x
_atom_site_fract_y
_atom_site_fract_z
Pm1 Pm 0.050 0.000 0.151
Au1 Au 0.167 0.500 0.000
I1 I 0.226 0.000 0.675
```

- magnetization (μB per cell) = 0.0

=====

Model Q:
A plane-wave DFT calculation with PBE was carried out for a relaxed structure of PmAuI.

The structure in CIF format:
```
data_PmAuI
_chemical_formula_sum 'Pm2 Au2 I2'
_cell_length_a 3.784
_cell_length_b 3.784
_cell_length_c 12.611
_cell_angle_alpha 90.00
_cell_angle_beta 90.00
_cell_angle_gamma 90.00
_space_group_name_H-M_alt 'I 4 m m'
_space_group_IT_number 107
_space_group_name_Hall 'I 4 -2'
loop_
_atom_site_label
_atom_site_type_symbol
_atom_site_fract_x
_atom_site_fract_y
_atom_site_fract_z
Pm1 Pm 0.000 0.000 0.000
Au1 Au 0.000 0.000 0.625
I1 I 0.000 0.000 0.341
```

- magnetization (μB per cell) = 0.0

=====

Calculated relative energies: model P 0.000; model Q 0.289, given in eV/atom

=====

Model P:
A plane-wave DFT calculation with PBE was carried out for a relaxed structure of Pm2AuI.

The structure in CIF format:
```
data_Pm2AuI
_chemical_formula_sum 'Pm2 Au1 I1'
_cell_length_a 3.642
_cell_length_b 3.642
_cell_length_c 8.437
_cell_angle_alpha 90.00
_cell_angle_beta 90.00
_cell_angle_gamma 90.00
_space_group_name_H-M_alt 'P 4/m m m'
_space_group_IT_number 123
_space_group_name_Hall '-P 4 2'
loop_
_atom_site_label
_atom_site_type_symbol
_atom_site_fract_x
_atom_site_fract_y
_atom_site_fract_z
Pm1 Pm 0.000 0.000 0.222
Au1 Au 0.500 0.500 0.000
I1 I 0.500 0.500 0.500
```

- magnetization (μB per cell) = 0.0

=====

Model Q:
A plane-wave DFT calculation with PBE was carried out for a relaxed structure of Pm2AuI.

The structure in CIF format:
```
data_Pm2AuI
_chemical_formula_sum 'Pm6 Au3 I3'
_cell_length_a 4.3013
_cell_length_b 4.3013
_cell_length_c 23.7891
_cell_angle_alpha 90.00
_cell_angle_beta 90.00
_cell_angle_gamma 120.00
_space_group_name_H-M_alt 'R -3 m'
_space_group_IT_number 166
_space_group_name_Hall '-R 3 2"'
loop_
_atom_site_label
_atom_site_type_symbol
_atom_site_fract_x
_atom_site_fract_y
_atom_site_fract_z
Pm1 Pm 0.0000 0.0000 0.2348
Au1 Au 0.0000 0.0000 0.5000
I1 I 0.0000 0.0000 0.0000
```

- magnetization (μB per cell) = 0.0

=====

Calculated relative energies: model P 0.109; model Q 0.000, given in eV/atom

=====

Model P:
A plane-wave DFT calculation with PBE was carried out for a relaxed structure of Pt2AuI.

The structure in CIF format:
```
data_Pt2AuI
_chemical_formula_sum 'Pt8 Au4 I4'
_cell_length_a 6.071
_cell_length_b 6.071
_cell_length_c 11.966
_cell_angle_alpha 90.00
_cell_angle_beta 90.00
_cell_angle_gamma 90.00
_space_group_name_H-M_alt 'I -4 2 d'
_space_group_IT_number 122
_space_group_name_Hall 'I -4 2bw'
loop_
_atom_site_label
_atom_site_type_symbol
_atom_site_fract_x
_atom_site_fract_y
_atom_site_fract_z
Pt1 Pt 0.239 0.250 0.125
Au1 Au 0.000 0.000 0.500
I1 I 0.000 0.000 0.000
```

- magnetization (μB per cell) = 0.0

=====

Model Q:
A plane-wave DFT calculation with PBE was carried out for a relaxed structure of Pt2AuI.

The structure in CIF format:
```
data_Pt2AuI
_chemical_formula_sum 'Pt8 Au4 I4'
_cell_length_a 6.712
_cell_length_b 6.712
_cell_length_c 6.712
_cell_angle_alpha 90.00
_cell_angle_beta 90.00
_cell_angle_gamma 90.00
_space_group_name_H-M_alt 'F m -3 m'
_space_group_IT_number 225
_space_group_name_Hall '-F 4 2 3'
loop_
_atom_site_label
_atom_site_type_symbol
_atom_site_fract_x
_atom_site_fract_y
_atom_site_fract_z
Pt1 Pt 0.250 0.250 0.250
Au1 Au 0.000 0.000 0.000
I1 I 0.000 0.000 0.500
```

- magnetization (μB per cell) = 0.0

=====

Calculated relative energies: model P 0.186; model Q 0.000, given in eV/atom

=====

Model P:
A plane-wave DFT calculation with PBE was carried out for a relaxed structure of PtAuI3.

The structure in CIF format:
```
data_PtAuI3
_chemical_formula_sum 'Pt4 Au4 I12'
_cell_length_a 4.903
_cell_length_b 18.720
_cell_length_c 8.921
_cell_angle_alpha 90.00
_cell_angle_beta 90.00
_cell_angle_gamma 90.00
_space_group_name_H-M_alt 'C m c 21'
_space_group_IT_number 36
loop_
_space_group_symop_operation_xyz
'x,y,z'
'-x,-y,z+1/2'
'-x,y,z'
'x,-y,z+1/2'
'x+1/2,y+1/2,z'
'-x+1/2,-y+1/2,z+1/2'
'-x+1/2,y+1/2,z'
'x+1/2,-y+1/2,z+1/2'
loop_
_atom_site_label
_atom_site_type_symbol
_atom_site_fract_x
_atom_site_fract_y
_atom_site_fract_z
Pt1 Pt 0.000 0.127 0.000
Au1 Au 0.000 0.231 0.752
I1 I 0.000 0.083 0.721
I2 I 0.000 0.198 0.258
I3 I 0.000 0.419 0.548
```

- magnetization (μB per cell) = 0.0

=====

Model Q:
A plane-wave DFT calculation with PBE was carried out for a relaxed structure of PtAuI3.

The structure in CIF format:
```
data_PtAuI3
_chemical_formula_sum 'Pt1 Au1 I3'
_cell_length_a 5.478
_cell_length_b 5.478
_cell_length_c 5.478
_cell_angle_alpha 90.00
_cell_angle_beta 90.00
_cell_angle_gamma 90.00
_space_group_name_H-M_alt 'P m -3 m'
_space_group_IT_number 221
_space_group_name_Hall '-P 4 2 3'
loop_
_atom_site_label
_atom_site_type_symbol
_atom_site_fract_x
_atom_site_fract_y
_atom_site_fract_z
Pt1 Pt 0.000 0.000 0.000
Au1 Au 0.500 0.500 0.500
I1 I 0.000 0.000 0.500
```

- magnetization (μB per cell) = 0.0

=====

Calculated relative energies: model P 0.000; model Q 0.408, given in eV/atom